A plane-wave DFT calculation with PBE was carried out for In2HgIr after structural relaxation.

formation energy	0.233	eV/atom
energy	-3.427	eV per atom
DOS at the Fermi energy	0.72	states/eV/atom

Geometry as CIF:
```
data_In2HgIr
_chemical_formula_sum 'In4 Hg2 Ir2'
_symmetry_space_group_name_H-M 'C 1 2/m 1'
_symmetry_Int_Tables_number 12
_symmetry_space_group_name_Hall '-C 2y'
_cell_length_a 9.044
_cell_length_b 3.386
_cell_length_c 5.596
_cell_angle_alpha 90.00
_cell_angle_beta 101.94
_cell_angle_gamma 90.00
loop_
_atom_site_label
_atom_site_fract_x
_atom_site_fract_y
_atom_site_fract_z
In1 0.237 0.000 0.220
Hg1 0.000 0.000 0.500
Ir1 0.000 0.500 0.000
```

A plane-wave DFT calculation with PBE was carried out for InHgIr2 after structural relaxation.

formation energy	0.615	eV/atom
energy	-4.575	eV per atom
DOS at the Fermi energy	0.72	states/eV/atom

Geometry as CIF:
```
data_InHgIr2
_chemical_formula_sum 'In4 Hg4 Ir8'
_symmetry_space_group_name_H-M 'I -4 2 d'
_symmetry_Int_Tables_number 122
_symmetry_space_group_name_Hall 'I -4 2bw'
_cell_length_a 4.116
_cell_length_b 4.116
_cell_length_c 19.041
_cell_angle_alpha 90.00
_cell_angle_beta 90.00
_cell_angle_gamma 90.00
loop_
_atom_site_label
_atom_site_fract_x
_atom_site_fract_y
_atom_site_fract_z
In1 0.000 0.000 0.000
Hg1 0.000 0.000 0.500
Ir1 0.184 0.250 0.125
```

A plane-wave DFT calculation with PBE was carried out for In3HgIr after structural relaxation.

formation energy	-0.061	eV/atom
energy	-3.537	eV per atom
DOS at the Fermi energy	0.32	states/eV/atom

Geometry as CIF:
```
data_In3HgIr
_chemical_formula_sum 'In6 Hg2 Ir2'
_symmetry_space_group_name_H-M 'P 1'
_symmetry_Int_Tables_number 1
_symmetry_space_group_name_Hall 'P 1'
_cell_length_a 6.540
_cell_length_b 7.057
_cell_length_c 7.140
_cell_angle_alpha 85.17
_cell_angle_beta 63.26
_cell_angle_gamma 63.39
loop_
_atom_site_label
_atom_site_fract_x
_atom_site_fract_y
_atom_site_fract_z
In1 0.000 0.000 0.000
In2 0.003 0.507 0.491
In3 0.279 0.491 0.991
In4 0.501 0.508 0.493
In5 0.733 0.505 0.990
In6 0.995 0.009 0.501
Hg1 0.495 0.009 0.501
Hg2 0.500 0.999 0.998
Ir1 0.014 0.719 0.768
Ir2 0.989 0.287 0.222
```

A plane-wave DFT calculation with PBE was carried out for InHg2Ir after structural relaxation.

formation energy	0.285	eV/atom
energy	-2.766	eV per atom
DOS at the Fermi energy	0.48	states/eV/atom

Geometry as CIF:
```
data_InHg2Ir
_chemical_formula_sum 'In3 Hg6 Ir3'
_symmetry_space_group_name_H-M 'R 3 m'
_symmetry_Int_Tables_number 160
_symmetry_space_group_name_Hall 'R 3 -2"'
_cell_length_a 3.2172
_cell_length_b 3.2172
_cell_length_c 28.1099
_cell_angle_alpha 90.00
_cell_angle_beta 90.00
_cell_angle_gamma 120.00
loop_
_atom_site_label
_atom_site_fract_x
_atom_site_fract_y
_atom_site_fract_z
In1 0.0000 0.0000 0.0000
Hg1 0.0000 0.0000 0.2411
Hg2 0.0000 0.0000 0.4828
Ir1 0.0000 0.0000 0.7379
```

A plane-wave DFT calculation with PBE was carried out for In3HgIr after structural relaxation.

formation energy	-0.045	eV/atom
energy	-3.521	eV per atom
DOS at the Fermi energy	0.42	states/eV/atom

Geometry as CIF:
```
data_In3HgIr
_chemical_formula_sum 'In12 Hg4 Ir4'
_symmetry_space_group_name_H-M 'P 1 21/c 1'
_symmetry_Int_Tables_number 14
_symmetry_space_group_name_Hall '-P 2ybc'
_cell_length_a 9.598
_cell_length_b 5.353
_cell_length_c 10.644
_cell_angle_alpha 90.00
_cell_angle_beta 123.35
_cell_angle_gamma 90.00
loop_
_atom_site_label
_atom_site_fract_x
_atom_site_fract_y
_atom_site_fract_z
In1 0.009 0.051 0.335
In2 0.351 0.676 0.156
In3 0.375 0.212 0.955
Hg1 0.164 0.137 0.114
Ir1 0.281 0.710 0.871
```

A plane-wave DFT calculation with PBE was carried out for InHgIr2 after structural relaxation.

formation energy	0.422	eV/atom
energy	-4.768	eV per atom
DOS at the Fermi energy	1.25	states/eV/atom

Geometry as CIF:
```
data_InHgIr2
_chemical_formula_sum 'In2 Hg2 Ir4'
_symmetry_space_group_name_H-M 'I -4 m 2'
_symmetry_Int_Tables_number 119
_symmetry_space_group_name_Hall 'I -4 -2'
_cell_length_a 4.109
_cell_length_b 4.109
_cell_length_c 8.289
_cell_angle_alpha 90.00
_cell_angle_beta 90.00
_cell_angle_gamma 90.00
loop_
_atom_site_label
_atom_site_fract_x
_atom_site_fract_y
_atom_site_fract_z
In1 0.000 0.000 0.000
Hg1 0.000 0.500 0.250
Ir1 0.000 0.000 0.500
Ir2 0.000 0.500 0.750
```

Copy entry 3 word for word.
A plane-wave DFT calculation with PBE was carried out for In3HgIr after structural relaxation.

formation energy	-0.061	eV/atom
energy	-3.537	eV per atom
DOS at the Fermi energy	0.32	states/eV/atom

Geometry as CIF:
```
data_In3HgIr
_chemical_formula_sum 'In6 Hg2 Ir2'
_symmetry_space_group_name_H-M 'P 1'
_symmetry_Int_Tables_number 1
_symmetry_space_group_name_Hall 'P 1'
_cell_length_a 6.540
_cell_length_b 7.057
_cell_length_c 7.140
_cell_angle_alpha 85.17
_cell_angle_beta 63.26
_cell_angle_gamma 63.39
loop_
_atom_site_label
_atom_site_fract_x
_atom_site_fract_y
_atom_site_fract_z
In1 0.000 0.000 0.000
In2 0.003 0.507 0.491
In3 0.279 0.491 0.991
In4 0.501 0.508 0.493
In5 0.733 0.505 0.990
In6 0.995 0.009 0.501
Hg1 0.495 0.009 0.501
Hg2 0.500 0.999 0.998
Ir1 0.014 0.719 0.768
Ir2 0.989 0.287 0.222
```

Question: energy of number 6 (InHgIr2)?
Answer: -4.768 eV per atom